A geometry-optimized CeSi2Ir3 structure. Source: Alexandria, functional PBE-GGA.

Cell and atoms, written as extended XYZ:
```
12
Lattice="-3.6256 4.8771 2.8118 3.6256 -4.8771 2.8118 3.6256 4.8771 -2.8118" Properties=species:S:1:pos:R:3 pbc="T T T"
Ce 0.0000 2.4385 1.2261
Ce 3.6256 2.4385 1.5857
Si 3.6256 -0.7818 1.1158
Si 3.6256 4.0953 -1.1158
Si 0.0000 0.7818 3.9276
Si 0.0000 5.6589 1.6960
Ir 1.8128 2.4385 -1.4059
Ir 1.5804 0.0000 0.0000
Ir 1.8128 -2.4385 1.4059
Ir 5.6708 0.0000 0.0000
Ir 1.5804 4.8771 0.0000
Ir 2.0452 0.0000 2.8118
```

**E_form (uncorrected)**: -925 meV/atom
**DOS(E_F)**: 10.24 states/eV/cell
**Distance to the lowest polymorph of the same formula**: 0.000 eV per atom
**Space group**: Imma, No. 74